! YNiMo3, optimized geometry, DFT PBE-GGA; values from VASP
! formation enthalpy at 0 K	2.7284	eV/atom
! excess energy over the best structure of this formula in the dataset	166.5	kJ/mol of atoms
&SYSTEM
  ibrav = 0, nat = 5, ntyp = 3
/
ATOMIC_SPECIES
Y 88.91 Y.upf
Ni 58.69 Ni.upf
Mo 95.94 Mo.upf
ATOMIC_POSITIONS crystal
Y 0.000 0.000 0.000
Ni 0.500 0.500 0.500
Mo 0.000 0.000 0.500
Mo 0.000 0.500 0.000
Mo 0.500 0.000 0.000
CELL_PARAMETERS angstrom
4.759 0.000 0.000
0.000 4.759 0.000
0.000 0.000 4.759

---

! MgZrTlNi, optimized geometry, DFT PBE-GGA; values from VASP
! formation enthalpy at 0 K	-0.0513	eV/atom
&SYSTEM
  ibrav = 0, nat = 4, ntyp = 4
/
ATOMIC_SPECIES
Mg 24.30 Mg.upf
Zr 91.22 Zr.upf
Tl 204.38 Tl.upf
Ni 58.69 Ni.upf
ATOMIC_POSITIONS crystal
Mg 0.000 0.000 0.000
Zr 0.500 0.500 0.500
Tl 0.750 0.750 0.750
Ni 0.250 0.250 0.250
CELL_PARAMETERS angstrom
0.000 3.366 3.366
3.366 0.000 3.366
3.366 3.366 0.000

---

| no. | total DFT energy (no corrections) (eV per atom) |
| --- | --- |
| 1 | -6.219 |
| 2 | -4.624 |